The following is a DFT calculation (PBE+U) of LiCo2O4 after structural relaxation.

crystal system = cubic
ΔE to the lowest computed polymorph = 0.000 eV/atom

a b c (Å): 5.6987 5.6987 5.6987
angles (deg): 60.00 60.00 60.00
With the nearest neighbours (Å) after each atom.
Fractional coordinates of all 14 atoms:
Li: 0.1250 0.1250 0.1250  4 O 1.96
Li: 0.8750 0.8750 0.8750  4 O 1.96
Co: 0.0000 0.5000 0.5000  6 O 1.90
Co: 0.5000 0.0000 0.5000  6 O 1.90
Co: 0.5000 0.5000 0.0000  6 O 1.90
Co: 0.5000 0.5000 0.5000  6 O 1.90
O: 0.2652 0.2652 0.2652  3 Co 1.90, 1 Li 1.96
O: 0.2652 0.2652 0.7045  3 Co 1.90, 1 Li 1.96
O: 0.2652 0.7045 0.2652  3 Co 1.90, 1 Li 1.96
O: 0.2955 0.7348 0.7348  3 Co 1.90, 1 Li 1.96
O: 0.7045 0.2652 0.2652  3 Co 1.90, 1 Li 1.96
O: 0.7348 0.2955 0.7348  3 Co 1.90, 1 Li 1.96
O: 0.7348 0.7348 0.2955  3 Co 1.90, 1 Li 1.96
O: 0.7348 0.7348 0.7348  3 Co 1.90, 1 Li 1.96